[1]
A plane-wave DFT calculation with PBE was carried out for an optimized crystal structure of Ba6Sr10Ca.

abc: 11.740 11.740 8.357
angles: 90.00 90.00 120.00
Positions (direct):
Ba (0.000, 0.343, 0.341)
Ba (0.000, 0.657, 0.659)
Ba (0.343, 0.000, 0.341)
Ba (0.343, 0.343, 0.659)
Ba (0.657, 0.000, 0.659)
Ba (0.657, 0.657, 0.341)
Sr (0.000, 0.313, 0.841)
Sr (0.000, 0.687, 0.159)
Sr (0.313, 0.000, 0.841)
Sr (0.313, 0.313, 0.159)
Sr (0.333, 0.667, 0.000)
Sr (0.333, 0.667, 0.500)
Sr (0.667, 0.333, 0.000)
Sr (0.667, 0.333, 0.500)
Sr (0.687, 0.000, 0.159)
Sr (0.687, 0.687, 0.841)
Ca (0.000, 0.000, 0.500)

Properties
DFT formation energy: 0.071 eV/atom
total DFT energy (no corrections): -1.714 eV/atom
SG: P-31m (162)

[2]
A plane-wave DFT calculation with PBE was carried out for an optimized crystal structure of LaYCu.

abc: 4.980 4.980 4.980
angles: 60.00 60.00 60.00
Positions (direct):
La (0.000, 0.000, 0.000)
Y (0.500, 0.500, 0.500)
Cu (0.250, 0.250, 0.250)

Properties
DFT formation energy: 0.091 eV/atom
excess energy over the best structure of this formula in the dataset: 187 meV/atom
total DFT energy (no corrections): -5.072 eV/atom
SG: F-43m (216)

[3]
A plane-wave DFT calculation with PBE was carried out for an optimized crystal structure of YNiPt2.

abc: 4.602 4.602 4.602
angles: 60.00 60.00 60.00
Positions (direct):
Y (0.000, 0.000, 0.000)
Ni (0.750, 0.750, 0.750)
Pt (0.250, 0.250, 0.250)
Pt (0.500, 0.500, 0.500)

Properties
DFT formation energy: -0.539 eV/atom
total DFT energy (no corrections): -6.620 eV/atom
SG: F-43m (216)

Among the records above, which one has the highest DFT formation energy?
LaYCu